[1]
InNiH2: optimized geometry, GGA-PBE.

abc: 3.8531 3.8531 3.8531
angles: 60.00 60.00 60.00
Element x y z (fractional)
In  0.0000  0.0000  0.0000
Ni  0.5000  0.5000  0.5000
H  0.2500  0.2500  0.2500
H  0.7500  0.7500  0.7500

Computed properties:
- DOS at the Fermi energy: 0.40 states/eV/atom
- VASP energy: -3.101 eV per atom
- Space-group type: No. 225
- ΔE to the lowest computed polymorph: 686 meV per atom
- Magnetic moment: 0.00 Bohr magnetons per cell


[2]
InNi3H: optimized geometry, GGA-PBE.

abc: 6.9936 6.9936 4.6436
angles: 91.53 91.53 101.43
Element x y z (fractional)
In  0.0583  0.2275  0.0785
In  0.2275  0.0583  0.5785
In  0.7725  0.9417  0.4215
In  0.9417  0.7725  0.9215
Ni  0.0719  0.6683  0.4130
Ni  0.2078  0.5673  0.9061
Ni  0.3172  0.4410  0.4272
Ni  0.3317  0.9281  0.0870
Ni  0.4327  0.7922  0.5939
Ni  0.4410  0.3172  0.9272
Ni  0.5590  0.6828  0.0728
Ni  0.5673  0.2078  0.4061
Ni  0.6683  0.0719  0.9130
Ni  0.6828  0.5590  0.5728
Ni  0.7922  0.4327  0.0939
Ni  0.9281  0.3317  0.5870
H  0.3119  0.6881  0.2500
H  0.4449  0.5551  0.7500
H  0.5551  0.4449  0.2500
H  0.6881  0.3119  0.7500

Computed properties:
- DOS at the Fermi energy: 0.65 states/eV/atom
- VASP energy: -4.695 eV per atom
- Space-group type: No. 15
- ΔE to the lowest computed polymorph: 146 meV per atom
- Magnetic moment: 0.00 Bohr magnetons per cell


[3]
InNi3H: optimized geometry, GGA-PBE.

abc: 4.3452 5.2594 4.7979
angles: 90.00 92.90 90.00
Element x y z (fractional)
In  0.2394  0.2500  0.3579
In  0.7606  0.7500  0.6421
Ni  0.2427  0.7500  0.3164
Ni  0.2520  0.0041  0.8481
Ni  0.2520  0.4959  0.8481
Ni  0.7480  0.5041  0.1519
Ni  0.7480  0.9959  0.1519
Ni  0.7573  0.2500  0.6836
H  0.4462  0.7500  0.0362
H  0.5538  0.2500  0.9638

Computed properties:
- DOS at the Fermi energy: 0.45 states/eV/atom
- VASP energy: -4.767 eV per atom
- Space-group type: No. 11
- ΔE to the lowest computed polymorph: 74 meV per atom
- Magnetic moment: 0.00 Bohr magnetons per cell


[4]
InNi3H: optimized geometry, GGA-PBE.

abc: 4.7055 4.7055 5.2848
angles: 90.00 90.00 111.40
Element x y z (fractional)
In  0.2358  0.7642  0.7500
In  0.7642  0.2358  0.2500
Ni  0.2324  0.7676  0.2500
Ni  0.2597  0.2597  0.0000
Ni  0.2597  0.2597  0.5000
Ni  0.7403  0.7403  0.0000
Ni  0.7403  0.7403  0.5000
Ni  0.7676  0.2324  0.7500
H  0.4460  0.5540  0.2500
H  0.5540  0.4460  0.7500

Computed properties:
- DOS at the Fermi energy: 0.43 states/eV/atom
- VASP energy: -4.766 eV per atom
- Space-group type: No. 63
- ΔE to the lowest computed polymorph: 75 meV per atom
- Magnetic moment: 0.00 Bohr magnetons per cell


[5]
InNi3H: optimized geometry, GGA-PBE.

abc: 4.8562 6.5872 7.2861
angles: 90.00 90.00 90.00
Element x y z (fractional)
In  0.0000  0.0000  0.0000
In  0.0000  0.5000  0.0000
In  0.5000  0.0000  0.5000
In  0.5000  0.5000  0.5000
Ni  0.0019  0.0722  0.3475
Ni  0.0019  0.4278  0.3475
Ni  0.2482  0.2500  0.7482
Ni  0.2518  0.7500  0.2482
Ni  0.4981  0.5722  0.8475
Ni  0.4981  0.9278  0.8475
Ni  0.5019  0.0722  0.1525
Ni  0.5019  0.4278  0.1525
Ni  0.7482  0.2500  0.7518
Ni  0.7518  0.7500  0.2518
Ni  0.9981  0.5722  0.6525
Ni  0.9981  0.9278  0.6525
H  0.0026  0.7500  0.4183
H  0.4974  0.2500  0.9183
H  0.5026  0.7500  0.0817
H  0.9974  0.2500  0.5817

Computed properties:
- DOS at the Fermi energy: 0.87 states/eV/atom
- VASP energy: -4.610 eV per atom
- Space-group type: No. 62
- ΔE to the lowest computed polymorph: 232 meV per atom
- Magnetic moment: 0.00 Bohr magnetons per cell


[6]
InNi3H: optimized geometry, GGA-PBE.

abc: 5.3566 5.3566 4.8810
angles: 90.00 90.00 122.36
Element x y z (fractional)
In  0.0827  0.9173  0.7500
In  0.9173  0.0827  0.2500
Ni  0.0295  0.4160  0.7500
Ni  0.4160  0.0295  0.2500
Ni  0.5000  0.5000  0.0000
Ni  0.5000  0.5000  0.5000
Ni  0.5840  0.9705  0.7500
Ni  0.9705  0.5840  0.2500
H  0.3854  0.6146  0.7500
H  0.6146  0.3854  0.2500

Computed properties:
- DOS at the Fermi energy: 0.54 states/eV/atom
- VASP energy: -4.572 eV per atom
- Space-group type: No. 63
- ΔE to the lowest computed polymorph: 269 meV per atom
- Magnetic moment: 0.00 Bohr magnetons per cell


[7]
InNi6H3: optimized geometry, GGA-PBE.

abc: 4.5482 4.7950 5.0085
angles: 97.69 96.91 112.95
Element x y z (fractional)
In  0.0000  0.0000  0.0000
Ni  0.1861  0.6075  0.2252
Ni  0.4008  0.2832  0.4538
Ni  0.4259  0.8584  0.7032
Ni  0.5683  0.4483  0.9916
Ni  0.8456  0.8054  0.4597
Ni  0.9721  0.3732  0.6641
H  0.3080  0.6155  0.9207
H  0.6022  0.2292  0.7263
H  0.7745  0.4389  0.3173

Computed properties:
- DOS at the Fermi energy: 0.79 states/eV/atom
- VASP energy: -4.723 eV per atom
- Space-group type: No. 1
- Magnetic moment: 0.00 Bohr magnetons per cell


[8]
InNi3H: optimized geometry, GGA-PBE.

abc: 6.9967 6.9967 5.1004
angles: 101.07 101.07 29.74
Element x y z (fractional)
In  0.0813  0.0813  0.2877
In  0.9187  0.9187  0.7123
Ni  0.1161  0.1161  0.8037
Ni  0.2939  0.2939  0.3973
Ni  0.3006  0.3006  0.9025
Ni  0.6994  0.6994  0.0975
Ni  0.7061  0.7061  0.6027
Ni  0.8839  0.8839  0.1963
H  0.3870  0.3870  0.2019
H  0.6130  0.6130  0.7981

Computed properties:
- DOS at the Fermi energy: 0.71 states/eV/atom
- VASP energy: -4.727 eV per atom
- Space-group type: No. 12
- ΔE to the lowest computed polymorph: 114 meV per atom
- Magnetic moment: 0.00 Bohr magnetons per cell


[9]
InNi3H: optimized geometry, GGA-PBE.

abc: 2.9062 2.9062 15.9084
angles: 90.00 90.00 120.00
Element x y z (fractional)
In  0.0000  0.0000  0.0000
In  0.0000  0.0000  0.5000
Ni  0.0000  0.0000  0.2500
Ni  0.0000  0.0000  0.7500
Ni  0.3333  0.6667  0.1305
Ni  0.3333  0.6667  0.3695
Ni  0.6667  0.3333  0.6305
Ni  0.6667  0.3333  0.8695
H  0.3333  0.6667  0.2500
H  0.6667  0.3333  0.7500

Computed properties:
- DOS at the Fermi energy: 0.74 states/eV/atom
- VASP energy: -4.523 eV per atom
- Space-group type: No. 194
- ΔE to the lowest computed polymorph: 318 meV per atom
- Magnetic moment: 0.00 Bohr magnetons per cell


[10]
InNi4H7: optimized geometry, GGA-PBE.

abc: 9.5504 5.9345 3.5111
angles: 90.00 90.00 90.00
Element x y z (fractional)
In  0.0000  0.0613  0.0000
In  0.5000  0.9387  0.5000
Ni  0.1673  0.4315  0.0013
Ni  0.2481  0.1470  0.5013
Ni  0.2519  0.8530  0.0013
Ni  0.3327  0.5685  0.5013
Ni  0.6673  0.5685  0.5013
Ni  0.7481  0.8530  0.0013
Ni  0.7519  0.1470  0.5013
Ni  0.8327  0.4315  0.0013
H  0.0000  0.4488  0.9943
H  0.1175  0.6887  0.9999
H  0.1670  0.4139  0.5011
H  0.2328  0.8576  0.5008
H  0.2672  0.1424  0.0008
H  0.3330  0.5861  0.0011
H  0.3825  0.3113  0.4999
H  0.5000  0.5512  0.4943
H  0.6175  0.3113  0.4999
H  0.6670  0.5861  0.0011
H  0.7328  0.1424  0.0008
H  0.7672  0.8576  0.5008
H  0.8330  0.4139  0.5011
H  0.8825  0.6887  0.9999

Computed properties:
- DOS at the Fermi energy: 0.38 states/eV/atom
- VASP energy: -4.073 eV per atom
- Space-group type: No. 31
- Magnetic moment: 0.00 Bohr magnetons per cell


[11]
InNi3H: optimized geometry, GGA-PBE.

abc: 6.8865 6.8865 4.6432
angles: 90.00 90.00 138.45
Element x y z (fractional)
In  0.1862  0.8138  0.7500
In  0.8138  0.1862  0.2500
Ni  0.0000  0.0000  0.0000
Ni  0.0000  0.0000  0.5000
Ni  0.1139  0.3834  0.7500
Ni  0.3834  0.1139  0.2500
Ni  0.6166  0.8861  0.7500
Ni  0.8861  0.6166  0.2500
H  0.4427  0.5573  0.7500
H  0.5573  0.4427  0.2500

Computed properties:
- DOS at the Fermi energy: 0.95 states/eV/atom
- VASP energy: -4.430 eV per atom
- Space-group type: No. 63
- ΔE to the lowest computed polymorph: 411 meV per atom
- Magnetic moment: 0.98 Bohr magnetons per cell


[12]
InNi3H: optimized geometry, GGA-PBE.

abc: 7.0764 4.3418 9.5882
angles: 90.00 132.08 90.00
Element x y z (fractional)
In  0.2479  0.2314  0.3038
In  0.2479  0.2686  0.8038
In  0.7521  0.7314  0.1962
In  0.7521  0.7686  0.6962
Ni  0.0039  0.2463  0.4273
Ni  0.0039  0.2537  0.9273
Ni  0.2520  0.7310  0.4675
Ni  0.2520  0.7690  0.9675
Ni  0.4982  0.2493  0.6732
Ni  0.4982  0.2507  0.1732
Ni  0.5018  0.7493  0.8268
Ni  0.5018  0.7507  0.3268
Ni  0.7480  0.2310  0.0325
Ni  0.7480  0.2690  0.5325
Ni  0.9961  0.7463  0.0727
Ni  0.9961  0.7537  0.5727
H  0.2503  0.5586  0.1088
H  0.2503  0.9414  0.6088
H  0.7497  0.0586  0.3912
H  0.7497  0.4414  0.8912

Computed properties:
- DOS at the Fermi energy: 0.52 states/eV/atom
- VASP energy: -4.764 eV per atom
- Space-group type: No. 14
- ΔE to the lowest computed polymorph: 77 meV per atom
- Magnetic moment: 0.00 Bohr magnetons per cell


[13]
InNi6H: optimized geometry, GGA-PBE.

abc: 5.1641 5.1641 5.1641
angles: 57.88 57.88 57.88
Element x y z (fractional)
In  0.0000  0.0000  0.0000
Ni  0.0778  0.5980  0.5980
Ni  0.4020  0.4020  0.9222
Ni  0.4020  0.9222  0.4020
Ni  0.5980  0.0778  0.5980
Ni  0.5980  0.5980  0.0778
Ni  0.9222  0.4020  0.4020
H  0.5000  0.5000  0.5000

Computed properties:
- DOS at the Fermi energy: 1.16 states/eV/atom
- VASP energy: -4.956 eV per atom
- Space-group type: No. 166
- Magnetic moment: 2.66 Bohr magnetons per cell


[14]
InNi3H: optimized geometry, GGA-PBE.

abc: 3.4322 3.4322 6.2763
angles: 90.00 90.00 90.00
Element x y z (fractional)
In  0.0000  0.0000  0.0000
Ni  0.0000  0.0000  0.6021
Ni  0.0000  0.5000  0.3319
Ni  0.5000  0.0000  0.3319
H  0.5000  0.5000  0.3474

Computed properties:
- DOS at the Fermi energy: 1.30 states/eV/atom
- VASP energy: -4.389 eV per atom
- Space-group type: No. 99
- ΔE to the lowest computed polymorph: 452 meV per atom
- Magnetic moment: 0.88 Bohr magnetons per cell


[15]
InNi3H: optimized geometry, GGA-PBE.

abc: 5.3598 3.7276 6.0398
angles: 90.00 116.12 90.00
Element x y z (fractional)
In  0.1325  0.0000  0.2647
In  0.8675  0.0000  0.7353
Ni  0.0000  0.5000  0.5000
Ni  0.2640  0.5000  0.0002
Ni  0.3795  0.0000  0.7592
Ni  0.5000  0.5000  0.5000
Ni  0.6205  0.0000  0.2408
Ni  0.7360  0.5000  0.9998
H  0.3705  0.5000  0.7410
H  0.6295  0.5000  0.2590

Computed properties:
- DOS at the Fermi energy: 0.47 states/eV/atom
- VASP energy: -4.786 eV per atom
- Space-group type: No. 10
- ΔE to the lowest computed polymorph: 55 meV per atom
- Magnetic moment: 0.00 Bohr magnetons per cell


[16]
InNi3H: optimized geometry, GGA-PBE.

abc: 4.7338 4.7338 4.7338
angles: 90.00 90.00 90.00
Element x y z (fractional)
In  0.0000  0.0000  0.0000
Ni  0.0000  0.0000  0.5000
Ni  0.0000  0.5000  0.0000
Ni  0.5000  0.0000  0.0000
H  0.5000  0.5000  0.5000

Computed properties:
- DOS at the Fermi energy: 0.27 states/eV/atom
- VASP energy: -2.935 eV per atom
- Space-group type: No. 221
- ΔE to the lowest computed polymorph: 1906 meV per atom
- Magnetic moment: 0.00 Bohr magnetons per cell


[17]
InNi3H: optimized geometry, GGA-PBE.

abc: 6.8721 4.7794 6.8319
angles: 90.00 100.96 90.00
Element x y z (fractional)
In  0.0948  0.1125  0.1956
In  0.0948  0.3875  0.6956
In  0.9052  0.6125  0.3044
In  0.9052  0.8875  0.8044
Ni  0.1968  0.6015  0.0647
Ni  0.1968  0.8985  0.5647
Ni  0.3263  0.0618  0.9353
Ni  0.3263  0.4382  0.4353
Ni  0.4526  0.5954  0.8177
Ni  0.4526  0.9046  0.3177
Ni  0.5474  0.0954  0.6823
Ni  0.5474  0.4046  0.1823
Ni  0.6737  0.5618  0.5647
Ni  0.6737  0.9382  0.0647
Ni  0.8032  0.1015  0.4353
Ni  0.8032  0.3985  0.9353
H  0.4414  0.7341  0.0687
H  0.4414  0.7659  0.5687
H  0.5586  0.2341  0.4313
H  0.5586  0.2659  0.9313

Computed properties:
- DOS at the Fermi energy: 0.66 states/eV/atom
- VASP energy: -4.709 eV per atom
- Space-group type: No. 14
- ΔE to the lowest computed polymorph: 132 meV per atom
- Magnetic moment: 0.00 Bohr magnetons per cell


[18]
InNi3H: optimized geometry, GGA-PBE.

abc: 5.4249 5.4249 5.4249
angles: 59.06 59.06 59.06
Element x y z (fractional)
In  0.0000  0.0000  0.0000
In  0.4918  0.4918  0.4918
Ni  0.0041  0.4855  0.4855
Ni  0.0064  0.0064  0.4876
Ni  0.0064  0.4876  0.0064
Ni  0.4855  0.0041  0.4855
Ni  0.4855  0.4855  0.0041
Ni  0.4876  0.0064  0.0064
H  0.6784  0.6784  0.6784
H  0.8117  0.8117  0.8117

Computed properties:
- DOS at the Fermi energy: 0.14 states/eV/atom
- VASP energy: -4.770 eV per atom
- Space-group type: No. 160
- ΔE to the lowest computed polymorph: 71 meV per atom
- Magnetic moment: 0.00 Bohr magnetons per cell


[19]
In2NiH: optimized geometry, GGA-PBE.

abc: 7.1801 7.1801 7.1801
angles: 139.03 139.03 59.33
Element x y z (fractional)
In  0.0683  0.6250  0.9433
In  0.3750  0.3183  0.4433
In  0.6817  0.1250  0.0567
In  0.8750  0.9317  0.5567
Ni  0.2500  0.7500  0.5000
Ni  0.5000  0.5000  0.0000
H  0.0000  0.0000  0.0000
H  0.7500  0.2500  0.5000

Computed properties:
- DOS at the Fermi energy: 0.40 states/eV/atom
- VASP energy: -3.216 eV per atom
- Space-group type: No. 122
- ΔE to the lowest computed polymorph: 71 meV per atom
- Magnetic moment: 0.00 Bohr magnetons per cell


[20]
InNiH2: optimized geometry, GGA-PBE.

abc: 5.9871 5.9871 5.9871
angles: 28.47 28.47 28.47
Element x y z (fractional)
In  0.0000  0.0000  0.0000
Ni  0.5000  0.5000  0.5000
H  0.1958  0.1958  0.1958
H  0.8042  0.8042  0.8042

Computed properties:
- DOS at the Fermi energy: 0.30 states/eV/atom
- VASP energy: -3.627 eV per atom
- Space-group type: No. 166
- ΔE to the lowest computed polymorph: 160 meV per atom
- Magnetic moment: 0.00 Bohr magnetons per cell